Record 1
Na2CoAsOs: optimized geometry, PBE-GGA.

Computed properties:
Crystal system ... tetragonal

a b c (Å): 5.0391 5.0391 4.2933
angles (deg): 90.00 90.00 90.00
Closest atoms and distances in Å follow each position.
Positions (direct):
1 Na 0.0000 0.5000 0.0000  2 Co 2.52
2 Na 0.5000 0.0000 0.0000  2 Co 2.52
3 Co 0.0000 0.0000 0.0000  2 As 2.15
4 As 0.0000 0.0000 0.5000  2 Co 2.15
5 Os 0.5000 0.5000 0.5000  8 Na 3.31, 4 As 3.56



Record 2
NaCoAs2Pd: optimized geometry, PBE-GGA.

Computed properties:
Crystal system ... tetragonal

a b c (Å): 6.0078 6.0078 6.0078
angles (deg): 139.64 139.64 58.41
Closest atoms and distances in Å follow each position.
Positions (direct):
1 Na 0.0000 0.0000 0.0000  8 As 3.22, 4 Co 3.34, 4 Pd 3.34
2 Co 0.7500 0.2500 0.5000  4 As 2.45
3 As 0.3737 0.3737 0.0000  2 Co 2.45, 2 Pd 2.45, 1 As 2.65
4 As 0.6263 0.6263 0.0000  2 Co 2.45, 2 Pd 2.45, 1 As 2.65
5 Pd 0.2500 0.7500 0.5000  4 As 2.45



| no. | energy of formation from the pure elements (meV per atom) | density of states at the Fermi level (states/eV per atom) |
| --- | --- | --- |
| 1 | 1289 | 1.176 |
| 2 | -314 | 0.627 |